This record from Alexandria describes Pm4Tl2Br3 after structural relaxation. The functional is PBE.

Cell lengths 4.2592, 4.2592, 18.7780 Å; angles 90.04, 90.04, 59.99 degrees
With the nearest neighbours (Å) after each atom.
Positions (direct):
Pm1 0.0007 0.0007 0.3060  3 Br 3.02, 3 Tl 3.16
Pm2 0.3336 0.3336 0.0945  3 Br 3.03, 3 Tl 3.17
Pm3 0.6664 0.6664 0.9055  3 Br 3.03, 3 Tl 3.17
Pm4 0.9993 0.9993 0.6940  3 Br 3.02, 3 Tl 3.16
Tl1 0.3329 0.3329 0.7993  6 Pm 3.16-3.17
Tl2 0.6671 0.6671 0.2007  6 Pm 3.16-3.17
Br1 0.0000 0.0000 0.0000  6 Pm 3.03
Br2 0.3342 0.3342 0.3995  3 Pm 3.02
Br3 0.6658 0.6658 0.6005  3 Pm 3.02

Calculated values
**Raw total energy**: -37.40 eV per cell
**M_tot**: 0.000 μB per atom
**SG**: C2/m, No. 12
**Raw formation energy**: -0.961 eV/atom


This record from Alexandria describes Pm2TlBr8 after structural relaxation. The functional is PBE.

Cell lengths 7.5153, 7.5153, 7.5573 Å; angles 98.63, 98.63, 76.31 degrees
With the nearest neighbours (Å) after each atom.
Positions (direct):
Pm1 0.1831 0.1831 0.4531  7 Br 2.88-3.03
Pm2 0.8169 0.8169 0.5469  7 Br 2.88-3.03
Tl1 0.5000 0.5000 0.0000  2 Br 2.90
Br1 0.0560 0.0560 0.7452  2 Pm 2.90-2.93
Br2 0.1720 0.5515 0.6648  2 Pm 2.97-3.03, 1 Tl 3.26
Br3 0.2875 0.2875 0.1386  1 Pm 2.88, 1 Tl 2.90
Br4 0.4485 0.8280 0.3352  2 Pm 2.97-3.03, 1 Tl 3.26
Br5 0.5515 0.1720 0.6648  2 Pm 2.97-3.03, 1 Tl 3.26
Br6 0.7125 0.7125 0.8614  1 Pm 2.88, 1 Tl 2.90
Br7 0.8280 0.4485 0.3352  2 Pm 2.97-3.03, 1 Tl 3.26
Br8 0.9440 0.9440 0.2548  2 Pm 2.90-2.93

Calculated values
**Raw total energy**: -41.27 eV per cell
**M_tot**: 0.000 μB per atom
**SG**: C2/m, No. 12
**Energy above the lowest structure with this stoichiometry**: 35.7 meV/atom
**Raw formation energy**: -1.456 eV/atom


This record from Alexandria describes PmTlBr6 after structural relaxation. The functional is PBE.

Cell lengths 7.6218, 7.6218, 7.6218 Å; angles 55.33, 55.33, 55.33 degrees
With the nearest neighbours (Å) after each atom.
Positions (direct):
Pm1 0.0000 0.0000 0.0000  6 Br 2.90
Tl1 0.5000 0.5000 0.5000  6 Br 2.83
Br1 0.0853 0.4229 0.7433  1 Tl 2.83, 1 Pm 2.90
Br2 0.2567 0.9147 0.5771  1 Tl 2.83, 1 Pm 2.90
Br3 0.4229 0.7433 0.0853  1 Tl 2.83, 1 Pm 2.90
Br4 0.5771 0.2567 0.9147  1 Tl 2.83, 1 Pm 2.90
Br5 0.7433 0.0853 0.4229  1 Tl 2.83, 1 Pm 2.90
Br6 0.9147 0.5771 0.2567  1 Tl 2.83, 1 Pm 2.90

Calculated values
**Raw total energy**: -25.90 eV per cell
**M_tot**: 0.000 μB per atom
**SG**: R-3, No. 148
**Raw formation energy**: -1.094 eV/atom


This record from Alexandria describes Pm2TlBr after structural relaxation. The functional is PBE.

Cell lengths 4.1348, 5.1953, 11.1934 Å; angles 90.00, 90.00, 90.00 degrees
With the nearest neighbours (Å) after each atom.
Positions (direct):
Pm1 0.2500 0.2500 0.0439  4 Tl 3.17-3.48, 4 Pm 3.46
Pm2 0.2500 0.7500 0.6775  4 Br 3.09-3.10
Pm3 0.7500 0.2500 0.3225  4 Br 3.09-3.10
Pm4 0.7500 0.7500 0.9561  4 Tl 3.17-3.48, 4 Pm 3.46
Tl1 0.2500 0.7500 0.2059  4 Pm 3.17-3.48
Tl2 0.7500 0.2500 0.7941  4 Pm 3.17-3.48
Br1 0.2500 0.2500 0.5284  4 Pm 3.09-3.10, 4 Br 3.38
Br2 0.7500 0.7500 0.4716  4 Pm 3.09-3.10, 4 Br 3.38

Calculated values
**Raw total energy**: -32.64 eV per cell
**M_tot**: 0.000 μB per atom
**SG**: Pmmn, No. 59
**Energy above the lowest structure with this stoichiometry**: 37.3 meV/atom
**Raw formation energy**: -0.695 eV/atom


This record from Alexandria describes Pm2Tl5Br12 after structural relaxation. The functional is PBE.

Cell lengths 9.9569, 9.9569, 10.4055 Å; angles 107.63, 107.63, 51.26 degrees
With the nearest neighbours (Å) after each atom.
Positions (direct):
Pm1 0.2471 0.7529 0.0000  6 Br 2.82-2.93
Pm2 0.7529 0.2471 0.0000  6 Br 2.82-2.93
Tl1 0.1864 0.1864 0.8111  7 Br 3.36-3.62
Tl2 0.2198 0.2198 0.3772  7 Br 3.28-3.66
Tl3 0.5000 0.5000 0.5000  6 Br 3.02-3.27
Tl4 0.7802 0.7802 0.6228  7 Br 3.28-3.66
Tl5 0.8136 0.8136 0.1889  7 Br 3.36-3.62
Br1 0.0059 0.0059 0.1966  2 Pm 2.93
Br2 0.0657 0.6009 0.9122  1 Pm 2.82
Br3 0.1309 0.6089 0.4430  3 Tl 3.02-3.36
Br4 0.3911 0.8691 0.5570  3 Tl 3.02-3.36
Br5 0.3991 0.9343 0.0878  1 Pm 2.82
Br6 0.4974 0.4974 0.8129  2 Pm 2.91
Br7 0.5026 0.5026 0.1871  2 Pm 2.91
Br8 0.6009 0.0657 0.9122  1 Pm 2.82
Br9 0.6089 0.1309 0.4430  3 Tl 3.02-3.36
Br10 0.8691 0.3911 0.5570  3 Tl 3.02-3.36
Br11 0.9343 0.3991 0.0878  1 Pm 2.82
Br12 0.9941 0.9941 0.8034  2 Pm 2.93

Calculated values
**Raw total energy**: -64.46 eV per cell
**M_tot**: 0.000 μB per atom
**SG**: C2/m, No. 12
**Raw formation energy**: -1.214 eV/atom


This record from Alexandria describes Pm6TlBr8 after structural relaxation. The functional is PBE.

Cell lengths 11.9677, 11.9677, 11.9677 Å; angles 34.72, 34.72, 34.72 degrees
With the nearest neighbours (Å) after each atom.
Positions (direct):
Pm1 0.1033 0.4454 0.7882  5 Br 2.98-3.03, 1 Tl 3.06
Pm2 0.2118 0.8967 0.5546  5 Br 2.98-3.03, 1 Tl 3.06
Pm3 0.4454 0.7882 0.1033  5 Br 2.98-3.03, 1 Tl 3.06
Pm4 0.5546 0.2118 0.8967  5 Br 2.98-3.03, 1 Tl 3.06
Pm5 0.7882 0.1033 0.4454  5 Br 2.98-3.03, 1 Tl 3.06
Pm6 0.8967 0.5546 0.2118  5 Br 2.98-3.03, 1 Tl 3.06
Tl1 0.5000 0.5000 0.5000  6 Pm 3.06
Br1 0.0684 0.7124 0.3905  3 Pm 3.02-3.03
Br2 0.1667 0.1667 0.1667  6 Pm 2.98
Br3 0.2876 0.6095 0.9316  3 Pm 3.02-3.03
Br4 0.3905 0.0684 0.7124  3 Pm 3.02-3.03
Br5 0.6095 0.9316 0.2876  3 Pm 3.02-3.03
Br6 0.7124 0.3905 0.0684  3 Pm 3.02-3.03
Br7 0.8333 0.8333 0.8333  6 Pm 2.98
Br8 0.9316 0.2876 0.6095  3 Pm 3.02-3.03

Calculated values
**Raw total energy**: -64.33 eV per cell
**M_tot**: 0.000 μB per atom
**SG**: R-3, No. 148
**Raw formation energy**: -1.339 eV/atom


This record from Alexandria describes Pm2TlBr after structural relaxation. The functional is PBE.

Cell lengths 7.4607, 7.4607, 7.4607 Å; angles 35.00, 35.00, 35.00 degrees
With the nearest neighbours (Å) after each atom.
Positions (direct):
Pm1 0.2482 0.2482 0.2482  3 Tl 3.11, 3 Br 3.15
Pm2 0.7518 0.7518 0.7518  3 Tl 3.11, 3 Br 3.15
Tl1 0.5000 0.5000 0.5000  6 Pm 3.11
Br1 0.0000 0.0000 0.0000  6 Pm 3.15

Calculated values
**Raw total energy**: -16.40 eV per cell
**M_tot**: 0.000 μB per atom
**SG**: R-3m, No. 166
**Energy above the lowest structure with this stoichiometry**: 17.8 meV/atom
**Raw formation energy**: -0.715 eV/atom


This record from Alexandria describes PmTlBr4 after structural relaxation. The functional is PBE.

Cell lengths 8.6248, 8.6248, 7.2961 Å; angles 107.84, 107.84, 110.04 degrees
With the nearest neighbours (Å) after each atom.
Positions (direct):
Pm1 0.0028 0.9972 0.7500  8 Br 3.03-3.05
Pm2 0.9972 0.0028 0.2500  8 Br 3.03-3.05
Tl1 0.3667 0.6333 0.2500  8 Br 3.42-3.53
Tl2 0.6333 0.3667 0.7500  8 Br 3.42-3.53
Br1 0.0556 0.7360 0.9300  2 Pm 3.03-3.04
Br2 0.2093 0.3343 0.7007  2 Pm 3.04-3.05
Br3 0.2640 0.9444 0.5700  2 Pm 3.03-3.04
Br4 0.3343 0.2093 0.2007  2 Pm 3.04-3.05
Br5 0.6657 0.7907 0.7993  2 Pm 3.04-3.05
Br6 0.7360 0.0556 0.4300  2 Pm 3.03-3.04
Br7 0.7907 0.6657 0.2993  2 Pm 3.04-3.05
Br8 0.9444 0.2640 0.0700  2 Pm 3.03-3.04

Calculated values
**Raw total energy**: -45.43 eV per cell
**M_tot**: 0.000 μB per atom
**SG**: C2/c, No. 15
**Energy above the lowest structure with this stoichiometry**: 44.2 meV/atom
**Raw formation energy**: -1.484 eV/atom


This record from Alexandria describes PmTl4Br7 after structural relaxation. The functional is PBE.

Cell lengths 11.5382, 11.5382, 7.9488 Å; angles 107.20, 107.20, 28.27 degrees
With the nearest neighbours (Å) after each atom.
Positions (direct):
Pm1 0.0000 0.0000 0.0000  6 Br 2.82-2.88
Tl1 0.3030 0.3030 0.7481  3 Br 3.17-3.29
Tl2 0.4144 0.4144 0.3640  1 Br 3.03
Tl3 0.5856 0.5856 0.6360  1 Br 3.03
Tl4 0.6970 0.6970 0.2519  3 Br 3.17-3.29
Br1 0.0773 0.0773 0.3616  1 Pm 2.87
Br2 0.1126 0.1126 0.8957  1 Pm 2.88
Br3 0.2762 0.2762 0.3330  4 Tl 3.03-3.29
Br4 0.5000 0.5000 0.0000  2 Pm 2.82
Br5 0.7238 0.7238 0.6670  4 Tl 3.03-3.29
Br6 0.8874 0.8874 0.1043  1 Pm 2.88
Br7 0.9227 0.9227 0.6384  1 Pm 2.87

Calculated values
**Raw total energy**: -39.94 eV per cell
**M_tot**: 0.000 μB per atom
**SG**: C2/m, No. 12
**Raw formation energy**: -1.168 eV/atom


This record from Alexandria describes PmTmBr6 after structural relaxation. The functional is PBE.

Cell lengths 7.6458, 7.6458, 7.6458 Å; angles 55.32, 55.32, 55.32 degrees
With the nearest neighbours (Å) after each atom.
Positions (direct):
Pm1 0.0000 0.0000 0.0000  6 Br 2.90
Tm1 0.5000 0.5000 0.5000  6 Br 2.78
Br1 0.0989 0.7427 0.4133  1 Tm 2.78, 1 Pm 2.90
Br2 0.2573 0.5867 0.9011  1 Tm 2.78, 1 Pm 2.90
Br3 0.4133 0.0989 0.7427  1 Tm 2.78, 1 Pm 2.90
Br4 0.5867 0.9011 0.2573  1 Tm 2.78, 1 Pm 2.90
Br5 0.7427 0.4133 0.0989  1 Tm 2.78, 1 Pm 2.90
Br6 0.9011 0.2573 0.5867  1 Tm 2.78, 1 Pm 2.90

Calculated values
**Raw total energy**: -33.80 eV per cell
**M_tot**: 0.000 μB per atom
**SG**: R-3, No. 148
**Energy above the lowest structure with this stoichiometry**: 17.2 meV/atom
**Raw formation energy**: -1.817 eV/atom


This record from Alexandria describes Pm2TmBr after structural relaxation. The functional is PBE.

Cell lengths 3.5629, 3.5629, 9.5971 Å; angles 90.00, 90.00, 90.00 degrees
With the nearest neighbours (Å) after each atom.
Positions (direct):
Pm1 0.0000 0.0000 0.2362  4 Br 3.39, 4 Pm 3.56, 4 Tm 3.57
Pm2 0.0000 0.0000 0.7638  4 Br 3.39, 4 Pm 3.56, 4 Tm 3.57
Tm1 0.5000 0.5000 0.5000  4 Tm 3.56, 8 Pm 3.57
Br1 0.5000 0.5000 0.0000  8 Pm 3.39, 4 Br 3.56

Calculated values
**Raw total energy**: -17.50 eV per cell
**M_tot**: 0.000 μB per atom
**SG**: P4/mmm, No. 123
**Energy above the lowest structure with this stoichiometry**: 74.2 meV/atom
**Raw formation energy**: -0.462 eV/atom


This record from Alexandria describes PmTmBr3 after structural relaxation. The functional is PBE.

Cell lengths 9.5120, 9.5120, 11.6201 Å; angles 123.82, 123.82, 23.66 degrees
With the nearest neighbours (Å) after each atom.
Positions (direct):
Pm1 0.1375 0.1375 0.2848  5 Br 2.94-3.05
Pm2 0.8625 0.8625 0.7152  5 Br 2.94-3.05
Tm1 0.4308 0.4308 0.0412  4 Br 2.87-2.91
Tm2 0.5692 0.5692 0.9588  4 Br 2.87-2.91
Br1 0.0341 0.0341 0.7510  2 Tm 2.87, 1 Pm 2.98
Br2 0.2082 0.2082 0.1139  2 Tm 2.91, 1 Pm 2.94
Br3 0.3344 0.3344 0.4911  3 Pm 3.03-3.05
Br4 0.6656 0.6656 0.5089  3 Pm 3.03-3.05
Br5 0.7918 0.7918 0.8861  2 Tm 2.91, 1 Pm 2.94
Br6 0.9659 0.9659 0.2490  2 Tm 2.87, 1 Pm 2.98

Calculated values
**Raw total energy**: -43.47 eV per cell
**M_tot**: 0.000 μB per atom
**SG**: C2/m, No. 12
**Raw formation energy**: -1.499 eV/atom


Which formula does entry 3 have?
PmTlBr6


Which of these has the lowest raw total energy?
Pm2Tl5Br12